The following is a PBE-GGA calculation of a relaxed K2P2Pb crystal, from Alexandria.

Energy above the lowest structure with this stoichiometry, meV per atom: 274
ΔH_f (0 K), eV/atom: 0.028
DOS(E_F), states/eV per cell: 3.5

CIF file:
```
data_K2P2Pb
_chemical_formula_sum 'K4 P4 Pb2'
_space_group_name_H-M_alt 'I 4/m m m'
_space_group_IT_number 139
_space_group_name_Hall '-I 4 2'
_cell_length_a 4.650
_cell_length_b 4.650
_cell_length_c 13.035
_cell_angle_alpha 90.00
_cell_angle_beta 90.00
_cell_angle_gamma 90.00
loop_
_atom_site_label
_atom_site_fract_x
_atom_site_fract_y
_atom_site_fract_z
K1 0.000 0.500 0.250
P1 0.000 0.000 0.083
Pb1 0.000 0.000 0.500
```